Here is crystalline Rb2MoPtI6 at its relaxed geometry from Alexandria. Energies are from GGA-PBE.

## Properties
- Formation energy without anion corrections: -0.48 eV/atom
- Crystal system: tetragonal
- Spin magnetization: 0.334 μB per atom

a = 8.1259 Å, b = 8.1259 Å, c = 8.0879 Å
α = 59.84°, β = 59.84°, γ = 90.00°
Last column: nearest neighbours and their distance in Å.
Fractional positions:
Mo (0.5000, 0.5000, 0.0000)  6 I 2.86-2.87
I (0.2508, 0.2508, 0.0000)  1 Mo 2.86, 1 Pt 2.88
Pt (0.0000, 0.0000, 0.0000)  6 I 2.82-2.88
Rb (0.2500, 0.7500, 0.5000)  12 I 4.04-4.06
I (0.7492, 0.2508, 0.0000)  1 Mo 2.86, 1 Pt 2.88
I (0.2479, 0.2479, 0.5041)  1 Pt 2.82, 1 Mo 2.87
I (0.2508, 0.7492, 0.0000)  1 Mo 2.86, 1 Pt 2.88
I (0.7492, 0.7492, 0.0000)  1 Mo 2.86, 1 Pt 2.88
Rb (0.7500, 0.2500, 0.5000)  12 I 4.04-4.06
I (0.7521, 0.7521, 0.4959)  1 Pt 2.82, 1 Mo 2.87

Here is crystalline RbBeGeO4 at its relaxed geometry from Alexandria. Energies are from GGA-PBE.

## Properties
- Formation energy without anion corrections: -1.59 eV/atom
- Crystal system: monoclinic
- Spin magnetization: 0.146 μB per atom

a = 5.0933 Å, b = 5.2718 Å, c = 8.7315 Å
α = 90.00°, β = 126.94°, γ = 90.00°
Last column: nearest neighbours and their distance in Å.
Fractional positions:
Be (0.2162, 0.7500, 0.3758)  4 O 1.62-1.66
O (0.9682, 0.9784, 0.3503)  1 Be 1.66
O (0.0318, 0.0216, 0.6497)  1 Be 1.66
Ge (0.1878, 0.2500, 0.5243)  3 O 1.84-1.89
Rb (0.6606, 0.7500, 0.9311)  3 O 2.68-2.98
O (0.9682, 0.5216, 0.3503)  1 Be 1.66
Rb (0.3394, 0.2500, 0.0689)  3 O 2.68-2.98
O (0.5560, 0.7500, 0.5913)  1 Be 1.62
Be (0.7838, 0.2500, 0.6242)  4 O 1.62-1.66
O (0.0318, 0.4784, 0.6497)  1 Be 1.66
O (0.4440, 0.2500, 0.4087)  1 Be 1.62
O (0.3799, 0.7500, 0.2607)  1 Be 1.65
O (0.6201, 0.2500, 0.7393)  1 Be 1.65
Ge (0.8122, 0.7500, 0.4757)  3 O 1.84-1.89

Here is crystalline KRbTaBr6 at its relaxed geometry from Alexandria. Energies are from GGA-PBE.

## Properties
- Formation energy without anion corrections: -1.24 eV/atom
- Crystal system: trigonal
- Spin magnetization: 0.111 μB per atom

a = 7.9767 Å, b = 7.9767 Å, c = 13.4065 Å
α = 90.00°, β = 90.00°, γ = 120.00°
Last column: nearest neighbours and their distance in Å.
Fractional positions:
Br (0.4045, 0.0676, 0.1375)  1 Ta 2.59
Br (0.0676, 0.6631, 0.8625)  1 Ta 2.59
K (0.6667, 0.3333, 0.7500)  6 Br 3.32
Ta (0.6667, 0.3333, 0.2500)  6 Br 2.59
Br (0.4045, 0.3369, 0.3625)  1 Ta 2.59
Br (0.5955, 0.6631, 0.6375)  1 Ta 2.59
Br (0.6631, 0.0676, 0.3625)  1 Ta 2.59
Br (0.5955, 0.9324, 0.8625)  1 Ta 2.59
Rb (0.0000, 0.0000, 0.0000)  6 Br 3.52
Rb (0.0000, 0.0000, 0.5000)  6 Br 3.52
Br (0.0676, 0.4045, 0.6375)  1 Ta 2.59
Br (0.3369, 0.9324, 0.6375)  1 Ta 2.59
Br (0.9324, 0.3369, 0.1375)  1 Ta 2.59
Br (0.9324, 0.5955, 0.3625)  1 Ta 2.59
Br (0.6631, 0.5955, 0.1375)  1 Ta 2.59
K (0.3333, 0.6667, 0.2500)  6 Br 3.32
Ta (0.3333, 0.6667, 0.7500)  6 Br 2.59
Br (0.3369, 0.4045, 0.8625)  1 Ta 2.59

Here is crystalline CrInRu2 at its relaxed geometry from Alexandria. Energies are from GGA-PBE.

## Properties
- E_form: 0.215 eV per atom
- Crystal system: tetragonal
- Spin magnetization: 0.387 μB per atom

a = 4.4107 Å, b = 4.4107 Å, c = 3.1252 Å
α = 90.00°, β = 90.00°, γ = 90.00°
Last column: nearest neighbours and their distance in Å.
Fractional positions:
In (0.0000, 0.5000, 0.5000)  8 Ru 2.70
Ru (0.0000, 0.0000, 0.0000)  4 Cr 2.70, 4 In 2.70
Ru (0.5000, 0.5000, 0.0000)  4 In 2.70, 4 Cr 2.70
Cr (0.5000, 0.0000, 0.5000)  8 Ru 2.70

no.,energy (eV per atom)
1,-3.291
2,-5.750
3,-3.900
4,-7.514